Record 1
DFT (PBE-GGA) results for a relaxed CaLa2Tc crystal.

Unit cell a=6.907 b=6.907 c=6.907 alpha=149.40 beta=133.30 gamma=56.87
Positions (direct):
Tc: 0.518 0.518 0.000
Ca: 0.307 0.807 0.500
La: 0.995 0.995 0.000
La: 0.680 0.180 0.500

Computed properties:
magnetic moment = 0.000 μB/atom
total DFT energy (no corrections) = -5.3657 eV per atom
energy of formation = 0.190 eV per atom

Record 2
DFT (PBE-GGA) results for a relaxed BaMn2Au crystal.

Unit cell a=6.001 b=6.001 c=6.001 alpha=146.14 beta=128.61 gamma=62.97
Last column: magnetic moment on the atom in μB.
Positions (direct):
Mn: 0.736 0.236 0.500  3.62
Ba: 0.262 0.762 0.500  -0.12
Mn: 0.966 0.966 0.000  3.97
Au: 0.536 0.536 0.000  0.03

Computed properties:
magnetic moment = 1.929 μB/atom
total DFT energy (no corrections) = -5.3919 eV per atom
energy of formation = 0.493 eV per atom

Record 3
DFT (PBE-GGA) results for a relaxed ErHf3Fe8 crystal.

Unit cell a=4.975 b=4.975 c=8.634 alpha=73.26 beta=73.26 gamma=60.00
Last column: magnetic moment on the atom in μB.
Positions (direct):
Fe: 0.187 0.187 0.438  1.93
Fe: 0.434 0.937 0.692  1.93
Fe: 0.937 0.434 0.692  1.93
Fe: 0.687 0.687 0.938  1.93
Er: 0.875 0.875 0.375  -0.56
Fe: 0.438 0.438 0.183  1.94
Hf: 0.375 0.375 0.875  -0.47
Hf: 0.001 0.001 0.997  -0.51
Hf: 0.499 0.499 0.503  -0.53
Fe: 0.438 0.940 0.183  1.94
Fe: 0.937 0.937 0.692  1.93
Fe: 0.940 0.438 0.183  1.94

Computed properties:
magnetic moment = 1.076 μB/atom
total DFT energy (no corrections) = -8.7938 eV per atom
energy of formation = -0.283 eV per atom